NbTlSb2O8: optimized geometry, GGA-PBE.

```
12
Lattice="4.895 -0.027 -0.003 0.017 4.896 -0.005 0.004 0.007 6.826" Properties=species:S:1:pos:R:3 pbc="T T T"
Nb 0.000 0.000 0.000
Tl 0.002 0.004 3.413
Sb 2.459 2.440 5.164
Sb 2.457 2.436 1.654
O 0.981 3.926 1.459
O 3.423 3.396 6.820
O 3.933 0.946 1.460
O 3.935 0.950 5.359
O 1.493 1.481 -0.003
O 0.984 3.930 5.357
O 3.345 3.317 3.407
O 1.571 1.559 3.410
```

Results
The value obtained for the volume is 13.63 Å³ per atom. The calculated total energy is -6.511 eV per atom. As for the density of states at the Fermi level: 0.1692 states/eV/atom.